MoSI3 (PBE, relaxed); DOS(E_F) = 1.26 states/eV/atom; crystal system = cubic; uncorrected formation energy = 0.719 eV per atom; ρ = 5406 kg/m3; energy relative to the lowest polymorph listed for this composition = 0.000 kcal/mol of atoms; calculated volume = 156.3 Å³ per cell
1.0
5.386 0.000 0.000
0.000 5.386 0.000
0.000 0.000 5.386
Mo S I
1 1 3
direct
0.000 0.000 0.000
0.500 0.500 0.500
0.000 0.000 0.500
0.000 0.500 0.000
0.500 0.000 0.000